Record 1
# PBE PuNpHgGe, relaxed
data_PuNpHgGe
_symmetry_space_group_name_H-M 'P 1'
_symmetry_Int_Tables_number 1
_cell_length_a 5.1698
_cell_length_b 5.1698
_cell_length_c 5.1698
_cell_angle_alpha 60.00
_cell_angle_beta 60.00
_cell_angle_gamma 60.00
loop_
_symmetry_equiv_pos_as_xyz
'x,y,z'
loop_
_atom_site_label
_atom_site_type_symbol
_atom_site_fract_x
_atom_site_fract_y
_atom_site_fract_z
Ge1 Ge 0.0000 0.0000 0.0000
Hg1 Hg 0.5000 0.5000 0.5000
Pu1 Pu 0.2500 0.2500 0.2500
Np1 Np 0.7500 0.7500 0.7500
# ΔH_f (0 K): -0.049 eV per atom
# Total magnetization: 10.95 μB per cell

Record 2
# PBE HgGeO3, relaxed
data_HgGeO3
_symmetry_space_group_name_H-M 'P 1'
_symmetry_Int_Tables_number 1
_cell_length_a 2.8918
_cell_length_b 6.1062
_cell_length_c 7.3876
_cell_angle_alpha 90.00
_cell_angle_beta 101.29
_cell_angle_gamma 90.00
loop_
_symmetry_equiv_pos_as_xyz
'x,y,z'
loop_
_atom_site_label
_atom_site_type_symbol
_atom_site_fract_x
_atom_site_fract_y
_atom_site_fract_z
O1 O 0.5689 0.2352 0.1378
O2 O 0.4311 0.7352 0.8622
Ge1 Ge 0.6639 0.0383 0.3279
Ge2 Ge 0.3361 0.5383 0.6721
O3 O 0.8901 0.3672 0.7803
Hg1 Hg 0.9232 0.0251 0.8463
Hg2 Hg 0.0768 0.5251 0.1537
O4 O 0.7615 0.6283 0.5229
O5 O 0.2385 0.1283 0.4771
O6 O 0.1099 0.8672 0.2197
# Energy relative to the elements, uncorrected: -0.938 eV/atom
# Total magnetization: 0.00 μB per cell

Record 3
# PBE HgGeO3, relaxed
data_HgGeO3
_symmetry_space_group_name_H-M 'P 1'
_symmetry_Int_Tables_number 1
_cell_length_a 3.8212
_cell_length_b 3.8212
_cell_length_c 3.8212
_cell_angle_alpha 90.00
_cell_angle_beta 90.00
_cell_angle_gamma 90.00
loop_
_symmetry_equiv_pos_as_xyz
'x,y,z'
loop_
_atom_site_label
_atom_site_type_symbol
_atom_site_fract_x
_atom_site_fract_y
_atom_site_fract_z
O1 O 0.0000 0.5000 0.5000
O2 O 0.5000 0.5000 0.0000
Hg1 Hg 0.0000 0.0000 0.0000
Ge1 Ge 0.5000 0.5000 0.5000
O3 O 0.5000 0.0000 0.5000
# Energy relative to the elements, uncorrected: -0.757 eV/atom
# Total magnetization: 0.00 μB per cell

Record 4
# PBE HgGeO2, relaxed
data_HgGeO2
_symmetry_space_group_name_H-M 'P 1'
_symmetry_Int_Tables_number 1
_cell_length_a 8.7844
_cell_length_b 8.7844
_cell_length_c 8.7844
_cell_angle_alpha 19.47
_cell_angle_beta 19.47
_cell_angle_gamma 19.47
loop_
_symmetry_equiv_pos_as_xyz
'x,y,z'
loop_
_atom_site_label
_atom_site_type_symbol
_atom_site_fract_x
_atom_site_fract_y
_atom_site_fract_z
O1 O 0.1291 0.1291 0.1291
O2 O 0.8709 0.8709 0.8709
Ge1 Ge 0.5000 0.5000 0.5000
Hg1 Hg 0.0000 0.0000 0.0000
# Energy relative to the elements, uncorrected: -1.081 eV/atom
# Total magnetization: 0.00 μB per cell

Record 5
# PBE HgGeO3, relaxed
data_HgGeO3
_symmetry_space_group_name_H-M 'P 1'
_symmetry_Int_Tables_number 1
_cell_length_a 3.1976
_cell_length_b 6.3914
_cell_length_c 7.2818
_cell_angle_alpha 95.83
_cell_angle_beta 96.08
_cell_angle_gamma 106.37
loop_
_symmetry_equiv_pos_as_xyz
'x,y,z'
loop_
_atom_site_label
_atom_site_type_symbol
_atom_site_fract_x
_atom_site_fract_y
_atom_site_fract_z
Ge1 Ge 0.9270 0.7564 0.6521
O1 O 0.1195 0.3710 0.1386
O2 O 0.6410 0.3173 0.4609
Hg1 Hg 0.3786 0.7695 0.0973
O3 O 0.9294 0.9519 0.2906
Ge2 Ge 0.0730 0.2436 0.3479
O4 O 0.3590 0.6827 0.5391
O5 O 0.0706 0.0481 0.7094
O6 O 0.8805 0.6290 0.8614
Hg2 Hg 0.6214 0.2305 0.9027
# Energy relative to the elements, uncorrected: -0.997 eV/atom
# Total magnetization: 0.00 μB per cell

Record 6
# PBE Hg3GeO4, relaxed
data_Hg3GeO4
_symmetry_space_group_name_H-M 'P 1'
_symmetry_Int_Tables_number 1
_cell_length_a 5.7869
_cell_length_b 5.8129
_cell_length_c 7.9416
_cell_angle_alpha 90.00
_cell_angle_beta 90.00
_cell_angle_gamma 90.00
loop_
_symmetry_equiv_pos_as_xyz
'x,y,z'
loop_
_atom_site_label
_atom_site_type_symbol
_atom_site_fract_x
_atom_site_fract_y
_atom_site_fract_z
Hg1 Hg 0.5068 0.3440 0.7728
O1 O 0.6103 0.7466 0.6843
Hg2 Hg 0.5068 0.3440 0.2272
O2 O 0.1103 0.2534 0.1843
Hg3 Hg 0.5199 0.7340 0.0000
O3 O 0.1844 0.8729 0.5000
Hg4 Hg 0.0068 0.6560 0.2728
O4 O 0.6103 0.7466 0.3157
O5 O 0.0786 0.8187 0.0000
O6 O 0.1103 0.2534 0.8157
Hg5 Hg 0.0068 0.6560 0.7272
Hg6 Hg 0.0199 0.2660 0.5000
O7 O 0.5786 0.1813 0.5000
Ge1 Ge 0.4981 0.8803 0.5000
O8 O 0.6844 0.1271 0.0000
Ge2 Ge 0.9981 0.1197 0.0000
# Energy relative to the elements, uncorrected: -0.669 eV/atom
# Total magnetization: 0.00 μB per cell

Mass density? In order: 12819 8339 9560 7698 7586 9180 kg/m3.